1.
## TcAuF3 (PBEsol)

Data for a relaxed structure of TcAuF3.

a = 4.371 Å, b = 4.371 Å, c = 4.371 Å
α = 90.00°, β = 90.00°, γ = 90.00°
Each line ends with the local moment (μB).
Element x y z (fractional)
Au: 0.000 0.000 0.000  0.03
F: 0.000 0.500 0.000  0.04
F: 0.000 0.000 0.500  0.04
F: 0.500 0.000 0.000  0.04
Tc: 0.500 0.500 0.500  4.14

Summary:
VASP energy (eV/f.u.): -20.46
SG: Pm-3m



2.
## Tc3AuF (PBEsol)

Data for a relaxed structure of Tc3AuF.

a = 4.971 Å, b = 4.971 Å, c = 4.971 Å
α = 90.00°, β = 90.00°, γ = 90.00°
Each line ends with the local moment (μB).
Element x y z (fractional)
Au: 0.000 0.000 0.000  0.26
Tc: 0.500 0.000 0.000  3.07
Tc: 0.000 0.500 0.000  3.07
Tc: 0.000 0.000 0.500  3.07
F: 0.500 0.500 0.500  0.15

Summary:
VASP energy (eV/f.u.): -27.45
SG: Pm-3m